Entry from Alexandria: a relaxed MoAuIO2 crystal (PBE+U).

It has space group P4/mmm (No. 123), with a = 4.060 Å, b = 4.060 Å, c = 6.869 Å, α = 90.00°, β = 90.00° and γ = 90.00°. The inequivalent atoms are Mo at (0.000, 0.000, 0.000), Au at (0.500, 0.500, 0.500), I at (0.500, 0.500, 0.000) and O at (0.000, 0.500, 0.500).

As for the crystal system: tetragonal. Its total magnetization is 0.26 μB per atom. For the total DFT energy (no corrections), the calculation gives -3.52 eV/atom.